PBE FeTcMo2C, relaxed; formation energy from the elements = 0.11 eV per atom; calculated total energy = -49.2 eV for the cell shown; total moment = 0.04 μB per cell; mass density = 9.269 g/cm³
1.0
4.140 0.000 0.000
0.000 4.140 0.000
0.000 0.000 3.739
Fe Mo C Tc
1 2 1 1
Cartesian
0.000 0.000 1.869
2.070 0.000 0.000
0.000 2.070 0.000
0.000 0.000 0.000
2.070 2.070 1.869



PBE KRbGaHg2, relaxed; formation energy from the elements = -0.06 eV per atom; calculated total energy = -6.0 eV for the cell shown; total moment = 0.00 μB per cell; mass density = 5.160 g/cm³
1.0
-3.709 -2.633 3.110
4.071 -2.569 2.680
0.194 4.699 4.210
K Hg Ga Rb
1 2 1 1
Cartesian
0.097 2.349 2.105
-1.854 -1.316 1.555
2.035 -1.285 1.340
0.000 0.000 0.000
0.278 -0.252 5.000



PBE SbOs2W, relaxed; raw formation energy = 533 meV per atom; calculated total energy = -37.4 eV for the cell shown; total moment = 0.50 μB per cell; mass density = 17.612 g/cm³
1.0
4.801 -0.005 0.000
1.278 4.628 0.000
-3.040 -2.311 2.910
W Os Sb
1 2 1
Cartesian
2.401 -0.003 1.455
3.040 2.311 0.000
0.000 0.000 0.000
0.639 2.314 1.455



PBE PrHfPb, relaxed; formation energy from the elements = -0.29 eV per atom; calculated total energy = -38.6 eV for the cell shown; total moment = 0.00 μB per cell; mass density = 10.157 g/cm³
1.0
4.484 0.000 0.000
0.000 4.484 0.000
0.000 0.000 8.565
Pr Hf Pb
2 2 2
Cartesian
0.000 2.242 7.180
2.242 0.000 1.385
0.000 0.000 4.282
2.242 2.242 4.282
2.242 0.000 6.492
0.000 2.242 2.073



PBE GeBiCl2, relaxed; raw formation energy = -113 meV per atom; calculated total energy = -25.3 eV for the cell shown; total moment = 0.00 μB per cell; ΔE to the lowest computed polymorph = 192 meV/atom; mass density = 5.668 g/cm³
1.0
8.022 0.000 0.000
0.000 8.022 0.000
4.011 4.011 3.210
Cl Bi Ge
4 2 2
Cartesian
6.016 6.249 2.408
2.238 6.016 0.803
5.784 2.005 0.803
10.027 9.794 2.408
0.000 0.000 0.000
8.022 4.011 1.605
4.011 8.022 1.605
4.011 4.011 0.000



PBE CdHg2Au, relaxed; formation energy from the elements = 0.06 eV per atom; calculated total energy = -4.6 eV for the cell shown; total moment = 0.00 μB per cell; ΔE to the lowest computed polymorph = 63 meV/atom; mass density = 13.658 g/cm³
1.0
5.407 -0.028 0.000
1.809 5.095 0.000
-3.608 -2.533 3.130
Au Hg Cd
1 2 1
Cartesian
0.905 2.548 1.565
3.608 2.533 0.000
0.000 0.000 0.000
2.703 -0.014 1.565



PBE La3Tb2SmP6, relaxed; formation energy from the elements = -1.58 eV per atom; calculated total energy = -80.1 eV for the cell shown; total moment = 0.00 μB per cell; mass density = 5.798 g/cm³
1.0
-0.371 -2.383 -6.799
6.425 1.102 3.090
-1.998 -5.995 3.485
P La Tb Sm
6 3 2 1
Cartesian
0.031 -4.892 1.702
4.025 -2.384 -1.926
4.176 -4.940 1.523
1.893 -6.110 -1.800
-0.120 -2.336 -1.746
2.163 -1.166 1.576
2.028 -3.638 -0.112
-0.240 -4.801 -3.412
4.296 -2.475 3.188
4.161 -0.059 -0.205
1.893 -1.222 -3.504
0.000 0.000 0.000



PBE DySiPt, relaxed; raw formation energy = -827 meV per atom; calculated total energy = -111.3 eV for the cell shown; total moment = 0.00 μB per cell; mass density = 10.961 g/cm³
1.0
6.107 0.000 0.000
-3.054 5.289 0.000
0.000 0.000 10.854
Si Dy Pt
6 6 6
Cartesian
2.572 2.041 5.427
0.000 4.082 1.809
-0.481 3.248 9.045
3.535 2.041 9.045
0.481 3.248 5.427
3.054 1.207 1.809
3.054 0.000 7.236
-1.527 2.644 3.618
0.000 0.000 1.809
0.000 0.000 9.045
1.527 2.644 0.000
0.000 0.000 5.427
1.527 2.644 3.182
-1.527 2.644 6.800
1.527 2.644 7.672
3.054 0.000 10.418
-1.527 2.644 0.436
3.054 0.000 4.054



PBE Tb3Nd8Sm2, relaxed; formation energy from the elements = 0.20 eV per atom; calculated total energy = -58.8 eV for the cell shown; total moment = 0.00 μB per cell; ΔE to the lowest computed polymorph = 42 meV/atom; mass density = 6.978 g/cm³
1.0
5.707 0.000 0.757
0.000 7.726 0.000
-1.357 -3.863 10.244
Nd Tb Sm
8 3 2
Cartesian
-0.889 0.000 6.724
-0.356 0.000 2.693
4.706 3.863 8.308
1.782 1.589 8.473
1.782 -1.589 8.473
5.239 3.863 4.277
2.568 2.274 2.528
2.568 5.452 2.528
0.000 5.523 0.000
0.000 2.203 0.000
2.854 0.000 0.379
2.204 0.000 5.305
2.146 3.863 5.696



PBE LiYZr, relaxed; formation energy from the elements = 0.20 eV per atom; calculated total energy = -32.7 eV for the cell shown; total moment = 0.00 μB per cell; ΔE to the lowest computed polymorph = 131 meV/atom; mass density = 4.199 g/cm³
1.0
-2.894 -0.484 -5.242
2.160 -3.095 -3.320
-3.256 -5.278 -1.010
Li Zr Y
2 2 2
Cartesian
-2.226 -4.103 -4.383
-2.253 -2.817 -1.788
-4.866 -5.597 -4.696
0.109 -2.430 -4.403
-2.556 -6.419 -2.425
-2.380 -5.189 -7.271



PBE Li3DyPd6, relaxed; formation energy from the elements = -0.54 eV per atom; calculated total energy = -93.7 eV for the cell shown; total moment = 0.00 μB per cell; mass density = 8.862 g/cm³
1.0
-2.975 -3.045 0.644
5.080 -5.473 -2.406
1.672 0.306 9.165
Dy Li Pd
2 6 12
Cartesian
5.049 -5.694 3.599
-1.272 -2.518 3.805
4.698 -4.566 7.305
2.664 -3.596 2.496
1.114 -4.616 4.908
1.342 -5.762 0.547
-0.920 -3.646 0.099
2.435 -2.450 6.857
3.365 -6.656 5.661
0.233 -4.302 2.324
1.760 -3.242 0.000
3.876 -5.156 0.724
2.251 -6.110 3.100
-0.099 -3.056 6.680
1.526 -2.102 4.304
1.140 -0.856 8.411
2.017 -4.971 7.404
0.412 -1.556 1.743
2.637 -7.356 -1.007
3.544 -3.910 5.080



Question: Look up the calculated total energy of the fourth one.
Answer: -38.6 eV for the cell shown



Question: Which formula does entry 3 have?
Answer: SbOs2W



Question: Among the records above, which one has the highest mass density?
Answer: SbOs2W



Question: calculated total energy of number 6 (CdHg2Au)?
Answer: -4.6 eV for the cell shown